First-principles (meta-GGA SCAN) data for MgAsOs4 at its PBEsol-relaxed geometry, as listed in Alexandria.

* crystal system: cubic
* total magnetic moment: 0.011 μB per formula unit
* total energy: -51.470 eV per atom
* energy relative to the elements: 0.64 eV/atom

Cell: 5.172 5.172 5.172 Å, 60.00 60.00 60.00°
Fractional coordinates of all 6 atoms:
Mg: 0.000 0.000 0.000
As: 0.250 0.250 0.250
Os: 0.126 0.625 0.625
Os: 0.625 0.126 0.625
Os: 0.625 0.625 0.126
Os: 0.625 0.625 0.625